(1)
A relaxed structure of Y2InCl. Source: Alexandria, functional PBE.

Output
V in Å³/atom: 28.316
Calculated total energy in eV/atom: -4.872
Energy above the most stable polymorph in this dataset in eV/atom: 0.447
Uncorrected formation energy in eV/atom: -0.4934
Fermi-level density of states in states/eV per cell: 5.78

Lattice parameters (Å, degrees): 3.607 4.984 6.300 90.00 90.00 90.00
Space group Pmmm (No. 47)
Symmetry-distinct sites (fractional):
Y 0.000 0.000 0.000
Y 0.500 0.000 0.500
In 0.000 0.500 0.500
Cl 0.500 0.500 0.000



(2)
A relaxed structure of Y2ZrInCl. Source: Alexandria, functional PBE.

Output
V in Å³/atom: 36.305
Calculated total energy in eV/atom: -4.735
Uncorrected formation energy in eV/atom: 0.4776
Fermi-level density of states in states/eV per cell: 6.76

Lattice parameters (Å, degrees): 5.768 5.768 5.456 90.00 90.00 90.00
Space group P4/mmm (No. 123)
Symmetry-distinct sites (fractional):
Y 0.000 0.500 0.000
Zr 0.000 0.000 0.500
In 0.000 0.000 0.000
Cl 0.500 0.500 0.500



(3)
A relaxed structure of Zn2In2Cl. Source: Alexandria, functional PBE.

Output
V in Å³/atom: 23.245
Calculated total energy in eV/atom: -2.108
Energy above the most stable polymorph in this dataset in eV/atom: 0.000
Uncorrected formation energy in eV/atom: -0.1340
Fermi-level density of states in states/eV per cell: 2.70

Lattice parameters (Å, degrees): 8.262 8.262 3.405 90.00 90.00 90.00
Space group P4/mbm (No. 127)
Symmetry-distinct sites (fractional):
Zn 0.108 0.392 0.000
In 0.197 0.697 0.500
Cl 0.000 0.000 0.500



(4)
A relaxed structure of ZnIn4Cl. Source: Alexandria, functional PBE.

Output
V in Å³/atom: 28.312
Calculated total energy in eV/atom: -2.290
Uncorrected formation energy in eV/atom: 0.0554
Fermi-level density of states in states/eV per cell: 8.92

Lattice parameters (Å, degrees): 8.791 8.791 8.791 90.00 90.00 90.00
Space group F-43m (No. 216)
Symmetry-distinct sites (fractional):
Zn 0.000 0.000 0.000
In 0.125 0.125 0.375
Cl 0.250 0.250 0.750